# AsP

A geometry-optimized AsP structure (GGA-PBE, the Alexandria database).

```
AsP
1.0
3.638 0.000 0.000
0.000 4.000 0.000
0.000 0.000 16.058
As P
6 6
Direct
0.000 0.782 0.840 As
0.500 0.275 0.000 As
0.500 0.218 0.660 As
0.000 0.782 0.160 As
0.000 0.725 0.500 As
0.500 0.218 0.340 As
0.500 0.175 0.160 P
0.500 0.175 0.840 P
0.000 0.825 0.660 P
0.000 0.825 0.340 P
0.500 0.320 0.500 P
0.000 0.680 0.000 P
```

Output
Uncorrected energy in eV per formula unit: -9.79
SG: No. 59
Spin magnetization in μB/f.u.: 0.00
Crystal system: orthorhombic
Relative energy among the computed polymorphs in eV/atom: 0.081
Energy of formation from the pure elements in eV/atom: 0.1344